[1]
Entry from Alexandria via LeMat-Bulk: an optimized crystal structure of AgIrAu2 (GGA-PBEsol).

- polymorph energy (0 for the lowest one) (meV per atom) = 148
- DFT total energy (Ry per atom) = -0.354
- SG = F-43m
- ΔE_f (eV/atom) = 0.42

Geometry as extended XYZ:
```
4
Lattice="0.0000 3.1804 3.1804 3.1804 0.0000 3.1804 3.1804 3.1804 0.0000" Properties=species:S:1:pos:R:3 pbc="T T T"
Ag 0.0000 0.0000 0.0000
Ir 1.5902 1.5902 1.5902
Au 3.1804 3.1804 3.1804
Au 4.7705 4.7705 4.7705
```


[2]
Entry from Alexandria via LeMat-Bulk: an optimized crystal structure of CaMg6Zn6 (GGA-PBEsol).

- DFT total energy (Ry per atom) = -0.133
- SG = P6/mmm
- ΔE_f (eV/atom) = -0.13

Geometry as extended XYZ:
```
13
Lattice="5.3871 0.0000 0.0000 -2.6935 4.6653 0.0000 0.0000 0.0000 9.5349" Properties=species:S:1:pos:R:3 pbc="T T T"
Ca 0.0000 0.0000 0.0000
Mg 0.0000 0.0000 3.2992
Mg 0.0000 0.0000 6.2357
Mg 0.0000 3.1102 0.0000
Mg 0.0000 3.1102 4.7674
Mg 2.6935 1.5551 0.0000
Mg 2.6935 1.5551 4.7674
Zn -1.3468 2.3327 2.3014
Zn -1.3468 2.3327 7.2335
Zn 2.6935 0.0000 2.3014
Zn 2.6935 0.0000 7.2335
Zn 1.3468 2.3327 2.3014
Zn 1.3468 2.3327 7.2335
```


[3]
Entry from Alexandria via LeMat-Bulk: an optimized crystal structure of WC2 (GGA-PBEsol).

- polymorph energy (0 for the lowest one) (meV per atom) = 878
- DFT total energy (Ry per atom) = -0.709
- SG = P4/mmm
- ΔE_f (eV/atom) = 1.38

Geometry as extended XYZ:
```
3
Lattice="3.1635 0.0000 0.0000 0.0000 3.1635 0.0000 0.0000 0.0000 2.9628" Properties=species:S:1:pos:R:3 pbc="T T T"
W 0.0000 0.0000 0.0000
C 0.0000 1.5818 1.4814
C 1.5818 0.0000 1.4814
```


[4]
Entry from Alexandria via LeMat-Bulk: an optimized crystal structure of LaNi2 (GGA-PBEsol).

- DFT total energy (Ry per atom) = -0.434
- SG = I4/mmm
- ΔE_f (eV/atom) = -0.02

Geometry as extended XYZ:
```
3
Lattice="-1.6656 1.6656 4.5914 1.6656 -1.6656 4.5914 1.6656 1.6656 -4.5914" Properties=species:S:1:pos:R:3 pbc="T T T"
La 0.0000 0.0000 0.0000
Ni 0.0000 0.0000 2.6456
Ni 0.0000 0.0000 6.5371
```


[5]
Entry from Alexandria via LeMat-Bulk: an optimized crystal structure of Y3TaH (GGA-PBEsol).

- DFT total energy (Ry per atom) = -0.525
- SG = Pm-3m

Geometry as extended XYZ:
```
5
Lattice="4.7004 0.0000 0.0000 0.0000 4.7004 0.0000 0.0000 0.0000 4.7004" Properties=species:S:1:pos:R:3 pbc="T T T"
Y 0.0000 0.0000 2.3502
Y 0.0000 2.3502 0.0000
Y 2.3502 0.0000 0.0000
Ta 2.3502 2.3502 2.3502
H 0.0000 0.0000 0.0000
```


[6]
Entry from Alexandria via LeMat-Bulk: an optimized crystal structure of PrMoBrO4 (GGA-PBEsol).

- energy relative to the elements, uncorrected (eV/atom) = -2.268
- DFT total energy (Ry per atom) = -0.585
- SG = P-1

Geometry as extended XYZ:
```
28
Lattice="7.1484 0.0000 0.0000 2.5437 6.9954 0.0000 3.0726 2.5184 9.7115" Properties=species:S:1:pos:R:3 pbc="T T T"
Pr 1.3329 1.0651 0.4860
Pr 7.0736 7.9261 6.7666
Pr 5.6911 1.5878 2.9449
Pr 11.4318 8.4488 9.2256
Mo 2.4243 2.5347 3.5149
Mo 5.4312 5.7529 3.2764
Mo 7.3336 3.7609 6.4351
Mo 10.3405 6.9792 6.1966
Br 3.3394 4.6761 6.8555
Br 6.0504 5.9859 9.1341
Br 6.7144 3.5279 0.5774
Br 9.4253 4.8378 2.8561
O 4.6320 7.8544 6.7515
O 4.3893 6.4122 4.5852
O 6.3902 9.1136 8.5809
O 3.6386 1.9562 4.6777
O 3.3789 2.0598 2.0924
O 4.8606 6.2614 1.6851
O 5.7838 2.9658 6.2781
O 5.5971 4.0081 3.4486
O 7.1677 5.5058 6.2629
O 6.9809 6.5481 3.4334
O 7.9042 3.2524 8.0265
O 9.3858 7.4540 7.6191
O 9.1261 7.5577 5.0338
O 6.3746 0.4002 1.1307
O 8.3755 3.1016 5.1263
O 8.1327 1.6594 2.9601
```


[7]
Entry from Alexandria via LeMat-Bulk: an optimized crystal structure of Mg2Ag3 (GGA-PBEsol).

- polymorph energy (0 for the lowest one) (meV per atom) = 7
- DFT total energy (Ry per atom) = -0.211
- SG = C2/m
- ΔE_f (eV/atom) = -0.20

Geometry as extended XYZ:
```
5
Lattice="4.5544 -2.0150 0.0000 4.5544 2.0150 0.0000 -4.4194 0.0000 4.7383" Properties=species:S:1:pos:R:3 pbc="T T T"
Mg -0.5134 0.0000 1.3940
Mg 5.2027 0.0000 3.3443
Ag -1.2163 0.0000 4.2414
Ag 2.3447 0.0000 2.3691
Ag 5.9056 0.0000 0.4969
```


[8]
Entry from Alexandria via LeMat-Bulk: an optimized crystal structure of Te2WBr (GGA-PBEsol).

- energy relative to the elements, uncorrected (eV/atom) = 1.151
- polymorph energy (0 for the lowest one) (meV per atom) = 802
- DFT total energy (Ry per atom) = -0.333
- SG = P4/mmm

Geometry as extended XYZ:
```
4
Lattice="4.2525 0.0000 0.0000 0.0000 4.2525 0.0000 0.0000 0.0000 5.0582" Properties=species:S:1:pos:R:3 pbc="T T T"
Te 0.0000 2.1263 0.0000
Te 2.1263 0.0000 0.0000
W 0.0000 0.0000 2.5291
Br 2.1263 2.1263 2.5291
```


[9]
Entry from Alexandria via LeMat-Bulk: an optimized crystal structure of Mg2CoOs (GGA-PBEsol).

- polymorph energy (0 for the lowest one) (meV per atom) = 0
- DFT total energy (Ry per atom) = -0.409
- SG = F-43m
- ΔE_f (eV/atom) = 0.28

Geometry as extended XYZ:
```
4
Lattice="0.0000 3.0609 3.0609 3.0609 0.0000 3.0609 3.0609 3.0609 0.0000" Properties=species:S:1:pos:R:3 pbc="T T T"
Mg 0.0000 0.0000 0.0000
Mg 1.5305 1.5305 1.5305
Co 4.5914 4.5914 4.5914
Os 3.0609 3.0609 3.0609
```


[10]
Entry from Alexandria via LeMat-Bulk: an optimized crystal structure of ZrMnCoTc2 (GGA-PBEsol).

- DFT total energy (Ry per atom) = -0.641
- SG = P4/mmm
- ΔE_f (eV/atom) = 1.10

Geometry as extended XYZ:
```
5
Lattice="4.2794 0.0000 0.0000 0.0000 4.2794 0.0000 0.0000 0.0000 4.6216" Properties=species:S:1:pos:R:3 pbc="T T T"
Zr 0.0000 0.0000 0.0000
Mn 0.0000 0.0000 2.3108
Co 2.1397 2.1397 0.0000
Tc 0.0000 2.1397 2.3108
Tc 2.1397 0.0000 2.3108
```


[11]
Entry from Alexandria via LeMat-Bulk: an optimized crystal structure of CaSc2Pb (GGA-PBEsol).

- DFT total energy (Ry per atom) = -0.361
- SG = P4/mmm
- ΔE_f (eV/atom) = -0.08

Geometry as extended XYZ:
```
4
Lattice="3.9494 0.0000 0.0000 0.0000 3.9494 0.0000 0.0000 0.0000 6.7280" Properties=species:S:1:pos:R:3 pbc="T T T"
Ca 0.0000 0.0000 0.0000
Sc 1.9747 1.9747 1.8801
Sc 1.9747 1.9747 4.8479
Pb 0.0000 0.0000 3.3640
```


[12]
Entry from Alexandria via LeMat-Bulk: an optimized crystal structure of CrHgSe2 (GGA-PBEsol).

- energy relative to the elements, uncorrected (eV/atom) = 0.258
- DFT total energy (Ry per atom) = -0.321
- SG = P4/mmm

Geometry as extended XYZ:
```
4
Lattice="4.7170 0.0000 0.0000 0.0000 4.7170 0.0000 0.0000 0.0000 3.4518" Properties=species:S:1:pos:R:3 pbc="T T T"
Cr 0.0000 0.0000 0.0000
Hg 2.3585 2.3585 0.0000
Se 0.0000 2.3585 1.7259
Se 2.3585 0.0000 1.7259
```